Run A
Compound: InGaFe3
Source: Alexandria
Functional: GGA-PBE
Structure: optimized geometry

The calculation puts the density of states at the Fermi level at 7.031 states/eV per cell.

The space group is Pm-3m (No. 221) and the conventional cell measures 4.439, 4.439 and 4.439 Å, with angles of 90.00, 90.00 and 90.00 degrees. Symmetry generates all atoms from In at (0.000, 0.000, 0.000), Ga at (0.500, 0.500, 0.500) and Fe at (0.000, 0.500, 0.500).

***

Run B
Compound: InGaFe3
Source: Alexandria
Functional: GGA-PBE
Structure: optimized geometry

The calculation puts the density of states at the Fermi level at 10.590 states/eV per cell.

The space group is Pm-3m (No. 221) and the conventional cell measures 4.827, 4.827 and 4.827 Å, with angles of 90.00, 90.00 and 90.00 degrees. Symmetry generates all atoms from In at (0.000, 0.000, 0.000), Ga at (0.500, 0.500, 0.500) and Fe at (0.000, 0.000, 0.500).

***

Short version: run B is the least stable of them.

***

Run A
Compound: KGaFe3
Source: Alexandria
Functional: GGA-PBE
Structure: optimized geometry

The calculation puts the density of states at the Fermi level at 6.156 states/eV per cell.

The space group is Pm-3m (No. 221) and the conventional cell measures 4.619, 4.619 and 4.619 Å, with angles of 90.00, 90.00 and 90.00 degrees. Symmetry generates all atoms from K at (0.000, 0.000, 0.000), Ga at (0.500, 0.500, 0.500) and Fe at (0.000, 0.000, 0.500).

***

Run B
Compound: KGaFe3
Source: Alexandria
Functional: GGA-PBE
Structure: optimized geometry

The calculation puts the density of states at the Fermi level at 6.186 states/eV per cell.

The space group is Pm-3m (No. 221) and the conventional cell measures 4.744, 4.744 and 4.744 Å, with angles of 90.00, 90.00 and 90.00 degrees. Symmetry generates all atoms from K at (0.000, 0.000, 0.000), Ga at (0.500, 0.500, 0.500) and Fe at (0.000, 0.500, 0.500).

***

Short version: run A is the least stable of them.

***

Run A
Compound: LaMgGa2Fe
Source: Alexandria
Functional: GGA-PBE
Structure: optimized geometry

The calculation puts the density of states at the Fermi level at 5.228 states/eV per cell.

The space group is P4/mmm (No. 123) and the conventional cell measures 5.712, 5.712 and 4.485 Å, with angles of 90.00, 90.00 and 90.00 degrees. Symmetry generates all atoms from La at (0.000, 0.000, 0.000), Mg at (0.500, 0.500, 0.500), Ga at (0.000, 0.500, 0.000) and Fe at (0.000, 0.000, 0.500).

***

Run B
Compound: LaMgGa2Fe
Source: Alexandria
Functional: GGA-PBE
Structure: optimized geometry

The calculation puts the density of states at the Fermi level at 3.034 states/eV per cell.

The space group is P4/mmm (No. 123) and the conventional cell measures 4.640, 4.640 and 4.756 Å, with angles of 90.00, 90.00 and 90.00 degrees. Symmetry generates all atoms from La at (0.000, 0.000, 0.000), Mg at (0.500, 0.500, 0.000), Ga at (0.000, 0.500, 0.500) and Fe at (0.500, 0.500, 0.500).

***

Short version: run A is the least stable of them.

***

Run A
Compound: MgGaFe3
Source: Alexandria
Functional: GGA-PBE
Structure: optimized geometry

The calculation puts the density of states at the Fermi level at 9.393 states/eV per cell.

The space group is Pm-3m (No. 221) and the conventional cell measures 4.443, 4.443 and 4.443 Å, with angles of 90.00, 90.00 and 90.00 degrees. Symmetry generates all atoms from Mg at (0.000, 0.000, 0.000), Ga at (0.500, 0.500, 0.500) and Fe at (0.000, 0.000, 0.500).

***

Run B
Compound: MgGaFe3
Source: Alexandria
Functional: GGA-PBE
Structure: optimized geometry

The calculation puts the density of states at the Fermi level at 8.042 states/eV per cell.

The space group is Pm-3m (No. 221) and the conventional cell measures 4.507, 4.507 and 4.507 Å, with angles of 90.00, 90.00 and 90.00 degrees. Symmetry generates all atoms from Mg at (0.000, 0.000, 0.000), Ga at (0.500, 0.500, 0.500) and Fe at (0.000, 0.500, 0.500).

***

Short version: run A is the least stable of them.

***

Run A
Compound: MnGa2Fe2
Source: Alexandria
Functional: GGA-PBE
Structure: optimized geometry

The calculation puts the density of states at the Fermi level at 15.388 states/eV per cell.

The space group is C2/m (No. 12) and the conventional cell measures 12.526, 2.600 and 10.332 Å, with angles of 90.00, 127.17 and 90.00 degrees. Symmetry generates all atoms from Mn at (0.192, 0.000, 0.383), Ga at (0.033, 0.500, 0.699), Ga at (0.187, 0.500, 0.146), Fe at (0.013, 0.000, 0.892) and Fe at (0.121, 0.000, 0.567).

***

Run B
Compound: MnGa2Fe2
Source: Alexandria
Functional: GGA-PBE
Structure: optimized geometry

The calculation puts the density of states at the Fermi level at 5.993 states/eV per cell.

The space group is P4/mbm (No. 127) and the conventional cell measures 6.634, 6.634 and 3.075 Å, with angles of 90.00, 90.00 and 90.00 degrees. Symmetry generates all atoms from Mn at (0.000, 0.000, 0.000), Ga at (0.136, 0.364, 0.000) and Fe at (0.165, 0.665, 0.500).

***

Short version: run A is the least stable of them.

***

Run A
Compound: Ga2FeMo
Source: Alexandria
Functional: GGA-PBE
Structure: optimized geometry

The calculation puts the density of states at the Fermi level at 16.585 states/eV per cell.

The space group is I-42d (No. 122) and the conventional cell measures 6.845, 6.845 and 5.238 Å, with angles of 90.00, 90.00 and 90.00 degrees. Symmetry generates all atoms from Ga at (0.223, 0.250, 0.125), Fe at (0.000, 0.000, 0.000) and Mo at (0.000, 0.000, 0.500).

***

Run B
Compound: Ga2FeMo
Source: Alexandria
Functional: GGA-PBE
Structure: optimized geometry

The calculation puts the density of states at the Fermi level at 11.971 states/eV per cell.

The space group is Fm-3m (No. 225) and the conventional cell measures 6.107, 6.107 and 6.107 Å, with angles of 90.00, 90.00 and 90.00 degrees. Symmetry generates all atoms from Ga at (0.250, 0.250, 0.250), Fe at (0.000, 0.000, 0.000) and Mo at (0.000, 0.000, 0.500).

***

Short version: run A is the least stable of them.

***

Run A
Compound: Ga3FeN
Source: Alexandria
Functional: GGA-PBE
Structure: optimized geometry

The calculation puts the density of states at the Fermi level at 3.684 states/eV per cell.

The space group is Pm-3m (No. 221) and the conventional cell measures 4.594, 4.594 and 4.594 Å, with angles of 90.00, 90.00 and 90.00 degrees. Symmetry generates all atoms from Ga at (0.000, 0.000, 0.500), Fe at (0.000, 0.000, 0.000) and N at (0.500, 0.500, 0.500).

***

Run B
Compound: Ga3FeN
Source: Alexandria
Functional: GGA-PBE
Structure: optimized geometry

The calculation puts the density of states at the Fermi level at 1.668 states/eV per cell.

The space group is Pm-3m (No. 221) and the conventional cell measures 4.185, 4.185 and 4.185 Å, with angles of 90.00, 90.00 and 90.00 degrees. Symmetry generates all atoms from Ga at (0.000, 0.000, 0.500), Fe at (0.500, 0.500, 0.500) and N at (0.000, 0.000, 0.000).

***

Short version: run A is the least stable of them.

***

Run A
Compound: Ga2Fe2N
Source: Alexandria
Functional: GGA-PBE
Structure: optimized geometry

The calculation puts the density of states at the Fermi level at 8.837 states/eV per cell.

The space group is P4/mbm (No. 127) and the conventional cell measures 5.103, 5.103 and 4.579 Å, with angles of 90.00, 90.00 and 90.00 degrees. Symmetry generates all atoms from Ga at (0.175, 0.325, 0.000), Fe at (0.183, 0.683, 0.500) and N at (0.000, 0.000, 0.500).

***

Run B
Compound: Ga2Fe2N
Source: Alexandria
Functional: GGA-PBE
Structure: optimized geometry

The calculation puts the density of states at the Fermi level at 8.132 states/eV per cell.

The space group is I4/mmm (No. 139) and the conventional cell measures 3.410, 3.410 and 12.514 Å, with angles of 90.00, 90.00 and 90.00 degrees. Symmetry generates all atoms from Ga at (0.000, 0.500, 0.250), Fe at (0.000, 0.000, 0.091) and N at (0.000, 0.000, 0.500).

***

Short version: run B is the least stable of them.